This record from the Alexandria database describes an optimized crystal structure of U3Tc. The functional is PBE.

a = 2.9850 Å, b = 4.8190 Å, c = 5.3801 Å
α = 90.00°, β = 90.00°, γ = 90.00°
Space group Pmm2 (No. 25)
Inequivalent atoms, fractional coordinates:
U: 0.0000 0.0000 0.0000 (multiplicity 1)
U: 0.0000 0.5000 0.2033 (multiplicity 1)
U: 0.5000 0.5000 0.6848 (multiplicity 1)
Tc: 0.5000 0.0000 0.5163 (multiplicity 1)

Results
crystal system = orthorhombic
ΔH_f (0 K) = 0.082 eV per atom


This record from the Alexandria database describes an optimized crystal structure of UTc4. The functional is PBE.

a = 4.4428 Å, b = 4.4628 Å, c = 9.3614 Å
α = 95.39°, β = 102.75°, γ = 109.83°
Space group P-1 (No. 2)
Inequivalent atoms, fractional coordinates:
U: 0.1306 0.3792 0.2498 (multiplicity 2)
Tc: 0.1492 0.1853 0.6246 (multiplicity 2)
Tc: 0.1891 0.3766 0.9199 (multiplicity 2)
Tc: 0.4398 0.9759 0.1246 (multiplicity 2)
Tc: 0.4562 0.7690 0.5795 (multiplicity 2)

Results
crystal system = triclinic
ΔH_f (0 K) = 0.086 eV per atom
polymorph energy (0 for the lowest one) = 0.00 eV/f.u.


This record from the Alexandria database describes an optimized crystal structure of U2Tc. The functional is PBE.

a = 4.6298 Å, b = 4.6298 Å, c = 2.9950 Å
α = 90.00°, β = 90.00°, γ = 120.00°
Space group P-3m1 (No. 164)
Inequivalent atoms, fractional coordinates:
U: 0.3333 0.6667 0.1407 (multiplicity 2)
Tc: 0.0000 0.0000 0.5000 (multiplicity 1)

Results
crystal system = trigonal
ΔH_f (0 K) = -0.079 eV per atom
polymorph energy (0 for the lowest one) = 0.09 eV/f.u.


This record from the Alexandria database describes an optimized crystal structure of UTc2. The functional is PBE.

a = 6.1230 Å, b = 8.4001 Å, c = 4.7089 Å
α = 90.00°, β = 122.45°, γ = 90.00°
Space group C2/c (No. 15)
Inequivalent atoms, fractional coordinates:
U: 0.0000 0.0892 0.2500 (multiplicity 4)
Tc: 0.0000 0.4377 0.2500 (multiplicity 4)
Tc: 0.2500 0.2500 0.0000 (multiplicity 4)

Results
crystal system = monoclinic
ΔH_f (0 K) = -0.025 eV per atom
polymorph energy (0 for the lowest one) = 0.00 eV/f.u.


This record from the Alexandria database describes an optimized crystal structure of U6Tc5. The functional is PBE.

a = 8.7069 Å, b = 11.2025 Å, c = 4.9662 Å
α = 90.00°, β = 123.12°, γ = 90.00°
Space group C2/m (No. 12)
Inequivalent atoms, fractional coordinates:
U: 0.1872 0.1450 0.1771 (multiplicity 8)
U: 0.1921 0.0000 0.7393 (multiplicity 4)
Tc: 0.0000 0.2371 0.5000 (multiplicity 4)
Tc: 0.0000 0.3711 0.0000 (multiplicity 4)
Tc: 0.0000 0.5000 0.5000 (multiplicity 2)

Results
crystal system = monoclinic
ΔH_f (0 K) = -0.035 eV per atom


This record from the Alexandria database describes an optimized crystal structure of U3Tc. The functional is PBE.

a = 6.6867 Å, b = 6.6867 Å, c = 6.6867 Å
α = 90.00°, β = 90.00°, γ = 90.00°
Space group Fm-3m (No. 225)
Inequivalent atoms, fractional coordinates:
U: 0.0000 0.0000 0.0000 (multiplicity 4)
U: 0.2500 0.2500 0.2500 (multiplicity 8)
Tc: 0.0000 0.0000 0.5000 (multiplicity 4)

Results
crystal system = cubic
ΔH_f (0 K) = 0.100 eV per atom


This record from the Alexandria database describes an optimized crystal structure of U2Tc3. The functional is PBE.

a = 5.7506 Å, b = 9.9338 Å, c = 6.5002 Å
α = 90.00°, β = 90.00°, γ = 90.00°
Space group Cmce (No. 64)
Inequivalent atoms, fractional coordinates:
U: 0.0000 0.1352 0.1061 (multiplicity 8)
Tc: 0.0000 0.0000 0.5000 (multiplicity 4)
Tc: 0.2500 0.1438 0.7500 (multiplicity 8)

Results
crystal system = orthorhombic
ΔH_f (0 K) = 0.086 eV per atom


This record from the Alexandria database describes an optimized crystal structure of UTc4. The functional is PBE.

a = 4.7100 Å, b = 4.7100 Å, c = 4.7100 Å
α = 90.00°, β = 90.00°, γ = 90.00°
Space group Pm-3m (No. 221)
Inequivalent atoms, fractional coordinates:
U: 0.0000 0.0000 0.0000 (multiplicity 1)
Tc: 0.0000 0.0000 0.5000 (multiplicity 3)
Tc: 0.5000 0.5000 0.5000 (multiplicity 1)

Results
crystal system = cubic
ΔH_f (0 K) = 1.703 eV per atom
polymorph energy (0 for the lowest one) = 8.09 eV/f.u.


This record from the Alexandria database describes an optimized crystal structure of U3Tc. The functional is PBE.

a = 2.9750 Å, b = 10.6445 Å, c = 4.8348 Å
α = 90.00°, β = 90.00°, γ = 90.00°
Space group Imm2 (No. 44)
Inequivalent atoms, fractional coordinates:
U: 0.0000 0.0000 0.0000 (multiplicity 2)
U: 0.0000 0.2251 0.7316 (multiplicity 4)
Tc: 0.0000 0.5000 0.9657 (multiplicity 2)

Results
crystal system = orthorhombic
ΔH_f (0 K) = 0.086 eV per atom


This record from the Alexandria database describes an optimized crystal structure of U3Tc. The functional is PBE.

a = 8.0470 Å, b = 9.2966 Å, c = 4.2931 Å
α = 90.00°, β = 90.00°, γ = 90.00°
Space group Cmcm (No. 63)
Inequivalent atoms, fractional coordinates:
U: 0.0000 0.0869 0.2500 (multiplicity 4)
U: 0.1714 0.4156 0.2500 (multiplicity 8)
Tc: 0.0000 0.2531 0.7500 (multiplicity 4)

Results
crystal system = orthorhombic
ΔH_f (0 K) = 0.028 eV per atom


This record from the Alexandria database describes an optimized crystal structure of U5Tc3. The functional is PBE.

a = 3.8325 Å, b = 3.8325 Å, c = 20.8458 Å
α = 90.00°, β = 90.00°, γ = 90.00°
Space group I-4m2 (No. 119)
Inequivalent atoms, fractional coordinates:
U: 0.0000 0.0000 0.0000 (multiplicity 2)
U: 0.0000 0.0000 0.2445 (multiplicity 4)
U: 0.0000 0.5000 0.1289 (multiplicity 4)
Tc: 0.0000 0.0000 0.5000 (multiplicity 2)
Tc: 0.0000 0.5000 0.6217 (multiplicity 4)

Results
crystal system = tetragonal
ΔH_f (0 K) = 0.058 eV per atom
polymorph energy (0 for the lowest one) = 0.21 eV/f.u.


This record from the Alexandria database describes an optimized crystal structure of U2Tc. The functional is PBE.

a = 3.3896 Å, b = 3.3896 Å, c = 9.6843 Å
α = 90.00°, β = 90.00°, γ = 90.00°
Space group I4/mmm (No. 139)
Inequivalent atoms, fractional coordinates:
U: 0.0000 0.0000 0.1800 (multiplicity 4)
Tc: 0.0000 0.0000 0.5000 (multiplicity 2)

Results
crystal system = tetragonal
ΔH_f (0 K) = -0.095 eV per atom
polymorph energy (0 for the lowest one) = 0.05 eV/f.u.


This record from the Alexandria database describes an optimized crystal structure of U2Tc. The functional is PBE.

a = 3.0451 Å, b = 15.1343 Å, c = 4.8814 Å
α = 90.00°, β = 90.00°, γ = 90.00°
Space group Cmmm (No. 65)
Inequivalent atoms, fractional coordinates:
U: 0.0000 0.0000 0.0000 (multiplicity 2)
U: 0.0000 0.1682 0.5000 (multiplicity 4)
U: 0.0000 0.5000 0.5000 (multiplicity 2)
Tc: 0.0000 0.3241 0.0000 (multiplicity 4)

Results
crystal system = orthorhombic
ΔH_f (0 K) = 0.038 eV per atom
polymorph energy (0 for the lowest one) = 0.44 eV/f.u.


This record from the Alexandria database describes an optimized crystal structure of UVTc. The functional is PBE.

a = 3.6194 Å, b = 3.6194 Å, c = 7.7091 Å
α = 90.00°, β = 90.00°, γ = 90.00°
Space group P4/nmm (No. 129, origin choice 2)
Inequivalent atoms, fractional coordinates:
U: 0.2500 0.7500 0.0000 (multiplicity 2)
V: 0.2500 0.2500 0.3146 (multiplicity 2)
Tc: 0.2500 0.2500 0.6454 (multiplicity 2)

Results
crystal system = tetragonal
ΔH_f (0 K) = 0.394 eV per atom
polymorph energy (0 for the lowest one) = 1.08 eV/f.u.


This record from the Alexandria database describes an optimized crystal structure of UVTc. The functional is PBE.

a = 3.6175 Å, b = 3.6175 Å, c = 7.8763 Å
α = 90.00°, β = 90.00°, γ = 90.00°
Space group I4mm (No. 107)
Inequivalent atoms, fractional coordinates:
U: 0.0000 0.0000 0.0000 (multiplicity 2)
V: 0.0000 0.0000 0.6999 (multiplicity 2)
Tc: 0.0000 0.0000 0.3194 (multiplicity 2)

Results
crystal system = tetragonal
ΔH_f (0 K) = 0.187 eV per atom
polymorph energy (0 for the lowest one) = 0.46 eV/f.u.


This record from the Alexandria database describes an optimized crystal structure of U2VTc5. The functional is PBE.

a = 5.5740 Å, b = 10.6719 Å, c = 4.4197 Å
α = 90.00°, β = 90.00°, γ = 90.00°
Space group Pbam (No. 55)
Inequivalent atoms, fractional coordinates:
U: 0.1515 0.1417 0.0000 (multiplicity 4)
V: 0.0000 0.5000 0.5000 (multiplicity 2)
Tc: 0.0000 0.0000 0.5000 (multiplicity 2)
Tc: 0.1184 0.7351 0.5000 (multiplicity 4)
Tc: 0.1648 0.3956 0.0000 (multiplicity 4)

Results
crystal system = orthorhombic
ΔH_f (0 K) = -0.102 eV per atom


This record from the Alexandria database describes an optimized crystal structure of UVTc. The functional is PBE.

a = 4.4369 Å, b = 4.4369 Å, c = 2.8117 Å
α = 90.00°, β = 90.00°, γ = 120.00°
Space group P3m1 (No. 156)
Inequivalent atoms, fractional coordinates:
U: 0.0000 0.0000 0.0000 (multiplicity 1)
V: 0.3333 0.6667 0.7606 (multiplicity 1)
Tc: 0.6667 0.3333 0.2938 (multiplicity 1)

Results
crystal system = trigonal
ΔH_f (0 K) = 0.035 eV per atom
polymorph energy (0 for the lowest one) = 0.00 eV/f.u.


This record from the Alexandria database describes an optimized crystal structure of U2TcW. The functional is PBE.

a = 2.9269 Å, b = 2.9269 Å, c = 30.3374 Å
α = 90.00°, β = 90.00°, γ = 120.00°
Space group R-3m (No. 166, hexagonal axes)
Inequivalent atoms, fractional coordinates:
U: 0.0000 0.0000 0.0901 (multiplicity 6)
Tc: 0.0000 0.0000 0.5000 (multiplicity 3)
W: 0.0000 0.0000 0.0000 (multiplicity 3)

Results
crystal system = trigonal
ΔH_f (0 K) = 0.552 eV per atom
polymorph energy (0 for the lowest one) = 0.84 eV/f.u.


This record from the Alexandria database describes an optimized crystal structure of U2TcW. The functional is PBE.

a = 3.4446 Å, b = 3.4446 Å, c = 6.5128 Å
α = 90.00°, β = 90.00°, γ = 90.00°
Space group P4/mmm (No. 123)
Inequivalent atoms, fractional coordinates:
U: 0.0000 0.0000 0.2364 (multiplicity 2)
Tc: 0.5000 0.5000 0.0000 (multiplicity 1)
W: 0.5000 0.5000 0.5000 (multiplicity 1)

Results
crystal system = tetragonal
ΔH_f (0 K) = 0.343 eV per atom
polymorph energy (0 for the lowest one) = 0.00 eV/f.u.


This record from the Alexandria database describes an optimized crystal structure of UTcW2. The functional is PBE.

a = 6.5145 Å, b = 6.5145 Å, c = 6.5145 Å
α = 90.00°, β = 90.00°, γ = 90.00°
Space group Fm-3m (No. 225)
Inequivalent atoms, fractional coordinates:
U: 0.0000 0.0000 0.0000 (multiplicity 4)
Tc: 0.0000 0.0000 0.5000 (multiplicity 4)
W: 0.2500 0.2500 0.2500 (multiplicity 8)

Results
crystal system = cubic
ΔH_f (0 K) = 0.417 eV per atom
polymorph energy (0 for the lowest one) = 0.71 eV/f.u.